Material: KP2HO
Method: DFT, PBE-GGA
State: optimized geometry

Unit cell a=3.6140 b=3.6140 c=5.9673 alpha=90.00 beta=90.00 gamma=90.00
With the nearest neighbours (Å) after each atom.
Element x y z (fractional)
P1 0.0000 0.5000 0.0000  2 H 1.81
P2 0.5000 0.0000 0.0000  2 H 1.81
K1 0.5000 0.5000 0.5000  4 O 2.56
O1 0.0000 0.0000 0.5000  4 K 2.56
H1 0.0000 0.0000 0.0000  4 P 1.81

Values from the calculation:
space-group type: P4/mmm
M_tot: 0.00 μB/cell
crystal system: tetragonal
ΔE to the lowest computed polymorph: 0 meV/atom